w) A relaxed Pr3CdC crystal. Source: Alexandria via LeMat-Bulk, functional PBE.

Computed properties:
M_tot (μB/atom): 0.000

```
data_Pr3CdC
_cell_length_a 6.659
_cell_length_b 5.409
_cell_length_c 7.546
_cell_angle_alpha 90.00
_cell_angle_beta 90.00
_cell_angle_gamma 90.00
_space_group_name_H-M_alt 'P m m a'
_space_group_IT_number 51
_space_group_name_Hall '-P 2a 2a'
loop_
_atom_site_label
_atom_site_type_symbol
_atom_site_fract_x
_atom_site_fract_y
_atom_site_fract_z
Pr1 Pr 0.000 0.000 0.000
Pr2 Pr 0.250 0.000 0.412
Pr3 Pr 0.250 0.500 0.714
Cd1 Cd 0.250 0.500 0.170
C1 C 0.250 0.000 0.734
```


x) A relaxed Pr3CdC crystal. Source: Alexandria via LeMat-Bulk, functional PBE.

Computed properties:
M_tot (μB/atom): 0.000

```
data_Pr3CdC
_cell_length_a 5.178
_cell_length_b 5.178
_cell_length_c 5.178
_cell_angle_alpha 90.00
_cell_angle_beta 90.00
_cell_angle_gamma 90.00
_space_group_name_H-M_alt 'P m -3 m'
_space_group_IT_number 221
_space_group_name_Hall '-P 4 2 3'
loop_
_atom_site_label
_atom_site_type_symbol
_atom_site_fract_x
_atom_site_fract_y
_atom_site_fract_z
Pr1 Pr 0.000 0.000 0.500
Cd1 Cd 0.500 0.500 0.500
C1 C 0.000 0.000 0.000
```


It is x) that is most stable; the runner-up trails by 101 meV per atom.


w) A relaxed PrCdC crystal. Source: Alexandria via LeMat-Bulk, functional PBE.

Computed properties:
M_tot (μB/atom): 0.000

```
data_PrCdC
_cell_length_a 3.817
_cell_length_b 4.035
_cell_length_c 10.358
_cell_angle_alpha 96.12
_cell_angle_beta 90.09
_cell_angle_gamma 118.15
_space_group_name_H-M_alt 'P 1'
_space_group_IT_number 1
_space_group_name_Hall 'P 1'
loop_
_atom_site_label
_atom_site_type_symbol
_atom_site_fract_x
_atom_site_fract_y
_atom_site_fract_z
Pr1 Pr 0.000 0.000 0.000
Pr2 Pr 0.182 0.361 0.330
Cd1 Cd 0.635 0.268 0.758
Cd2 Cd 0.915 0.826 0.576
C1 C 0.690 0.380 0.133
C2 C 0.850 0.700 0.216
```


x) A relaxed PrCdC crystal. Source: Alexandria via LeMat-Bulk, functional PBE.

Computed properties:
M_tot (μB/atom): 0.000

```
data_PrCdC
_cell_length_a 7.936
_cell_length_b 3.867
_cell_length_c 9.579
_cell_angle_alpha 90.00
_cell_angle_beta 107.62
_cell_angle_gamma 90.00
_space_group_name_H-M_alt 'C 1 2/m 1'
_space_group_IT_number 12
_space_group_name_Hall '-C 2y'
loop_
_atom_site_label
_atom_site_type_symbol
_atom_site_fract_x
_atom_site_fract_y
_atom_site_fract_z
Pr1 Pr 0.090 0.000 0.344
Cd1 Cd 0.181 0.500 0.083
C1 C 0.087 0.500 0.533
```


It is x) that is most stable; the runner-up trails by 141 meV per atom.


w) A relaxed CdPt2C crystal. Source: Alexandria via LeMat-Bulk, functional PBE.

Computed properties:
M_tot (μB/atom): 0.000

```
data_CdPt2C
_cell_length_a 6.601
_cell_length_b 6.601
_cell_length_c 5.917
_cell_angle_alpha 90.00
_cell_angle_beta 90.00
_cell_angle_gamma 90.00
_space_group_name_H-M_alt 'I -4 2 d'
_space_group_IT_number 122
_space_group_name_Hall 'I -4 2bw'
loop_
_atom_site_label
_atom_site_type_symbol
_atom_site_fract_x
_atom_site_fract_y
_atom_site_fract_z
Cd1 Cd 0.000 0.000 0.000
Pt1 Pt 0.129 0.250 0.625
C1 C 0.000 0.000 0.500
```


x) A relaxed CdPt2C crystal. Source: Alexandria via LeMat-Bulk, functional PBE.

Computed properties:
M_tot (μB/atom): 0.000

```
data_CdPt2C
_cell_length_a 6.246
_cell_length_b 6.246
_cell_length_c 6.246
_cell_angle_alpha 90.00
_cell_angle_beta 90.00
_cell_angle_gamma 90.00
_space_group_name_H-M_alt 'F m -3 m'
_space_group_IT_number 225
_space_group_name_Hall '-F 4 2 3'
loop_
_atom_site_label
_atom_site_type_symbol
_atom_site_fract_x
_atom_site_fract_y
_atom_site_fract_z
Cd1 Cd 0.000 0.000 0.000
Pt1 Pt 0.250 0.250 0.250
C1 C 0.000 0.000 0.500
```


It is w) that is most stable; the runner-up trails by 970 meV per atom.


w) A relaxed CdPt3C crystal. Source: Alexandria via LeMat-Bulk, functional PBE.

Computed properties:
M_tot (μB/atom): 0.244

```
data_CdPt3C
_cell_length_a 4.979
_cell_length_b 4.979
_cell_length_c 4.979
_cell_angle_alpha 90.00
_cell_angle_beta 90.00
_cell_angle_gamma 90.00
_space_group_name_H-M_alt 'P m -3 m'
_space_group_IT_number 221
_space_group_name_Hall '-P 4 2 3'
loop_
_atom_site_label
_atom_site_type_symbol
_atom_site_fract_x
_atom_site_fract_y
_atom_site_fract_z
Cd1 Cd 0.000 0.000 0.000
Pt1 Pt 0.000 0.000 0.500
C1 C 0.500 0.500 0.500
```


x) A relaxed CdPt3C crystal. Source: Alexandria via LeMat-Bulk, functional PBE.

Computed properties:
M_tot (μB/atom): 0.000

```
data_CdPt3C
_cell_length_a 4.236
_cell_length_b 4.236
_cell_length_c 4.236
_cell_angle_alpha 90.00
_cell_angle_beta 90.00
_cell_angle_gamma 90.00
_space_group_name_H-M_alt 'P m -3 m'
_space_group_IT_number 221
_space_group_name_Hall '-P 4 2 3'
loop_
_atom_site_label
_atom_site_type_symbol
_atom_site_fract_x
_atom_site_fract_y
_atom_site_fract_z
Cd1 Cd 0.000 0.000 0.000
Pt1 Pt 0.000 0.500 0.500
C1 C 0.500 0.500 0.500
```


It is x) that is most stable; the runner-up trails by 2558 meV per atom.


w) A relaxed CdPtC3 crystal. Source: Alexandria via LeMat-Bulk, functional PBE.

Computed properties:
M_tot (μB/atom): 0.000

```
data_CdPtC3
_cell_length_a 4.096
_cell_length_b 4.096
_cell_length_c 4.096
_cell_angle_alpha 90.00
_cell_angle_beta 90.00
_cell_angle_gamma 90.00
_space_group_name_H-M_alt 'P m -3 m'
_space_group_IT_number 221
_space_group_name_Hall '-P 4 2 3'
loop_
_atom_site_label
_atom_site_type_symbol
_atom_site_fract_x
_atom_site_fract_y
_atom_site_fract_z
Cd1 Cd 0.000 0.000 0.000
Pt1 Pt 0.500 0.500 0.500
C1 C 0.000 0.500 0.500
```


x) A relaxed CdPtC3 crystal. Source: Alexandria via LeMat-Bulk, functional PBE.

Computed properties:
M_tot (μB/atom): 0.000

```
data_CdPtC3
_cell_length_a 4.196
_cell_length_b 4.196
_cell_length_c 4.196
_cell_angle_alpha 90.00
_cell_angle_beta 90.00
_cell_angle_gamma 90.00
_space_group_name_H-M_alt 'P m -3 m'
_space_group_IT_number 221
_space_group_name_Hall '-P 4 2 3'
loop_
_atom_site_label
_atom_site_type_symbol
_atom_site_fract_x
_atom_site_fract_y
_atom_site_fract_z
Cd1 Cd 0.000 0.000 0.000
Pt1 Pt 0.500 0.500 0.500
C1 C 0.000 0.000 0.500
```


It is w) that is most stable; the runner-up trails by 1106 meV per atom.


w) A relaxed Rb2CdC2 crystal. Source: Alexandria via LeMat-Bulk, functional PBE.

Computed properties:
M_tot (μB/atom): 0.000

```
data_Rb2CdC2
_cell_length_a 9.802
_cell_length_b 9.802
_cell_length_c 4.494
_cell_angle_alpha 90.00
_cell_angle_beta 90.00
_cell_angle_gamma 90.00
_space_group_name_H-M_alt 'P 4/m b m'
_space_group_IT_number 127
_space_group_name_Hall '-P 4 2ab'
loop_
_atom_site_label
_atom_site_type_symbol
_atom_site_fract_x
_atom_site_fract_y
_atom_site_fract_z
Rb1 Rb 0.143 0.357 0.000
Cd1 Cd 0.000 0.000 0.000
C1 C 0.046 0.546 0.500
```


x) A relaxed Rb2CdC2 crystal. Source: Alexandria via LeMat-Bulk, functional PBE.

Computed properties:
M_tot (μB/atom): 0.000

```
data_Rb2CdC2
_cell_length_a 2.996
_cell_length_b 2.996
_cell_length_c 23.524
_cell_angle_alpha 90.00
_cell_angle_beta 90.00
_cell_angle_gamma 90.00
_space_group_name_H-M_alt 'I 4/m m m'
_space_group_IT_number 139
_space_group_name_Hall '-I 4 2'
loop_
_atom_site_label
_atom_site_type_symbol
_atom_site_fract_x
_atom_site_fract_y
_atom_site_fract_z
Rb1 Rb 0.000 0.000 0.141
Cd1 Cd 0.000 0.000 0.500
C1 C 0.000 0.500 0.250
```


It is w) that is most stable; the runner-up trails by 1285 meV per atom.


w) A relaxed RbCdC3 crystal. Source: Alexandria via LeMat-Bulk, functional PBE.

Computed properties:
M_tot (μB/atom): 0.905

```
data_RbCdC3
_cell_length_a 4.631
_cell_length_b 4.631
_cell_length_c 4.631
_cell_angle_alpha 90.00
_cell_angle_beta 90.00
_cell_angle_gamma 90.00
_space_group_name_H-M_alt 'P m -3 m'
_space_group_IT_number 221
_space_group_name_Hall '-P 4 2 3'
loop_
_atom_site_label
_atom_site_type_symbol
_atom_site_fract_x
_atom_site_fract_y
_atom_site_fract_z
Rb1 Rb 0.000 0.000 0.000
Cd1 Cd 0.500 0.500 0.500
C1 C 0.000 0.500 0.500
```


x) A relaxed RbCdC3 crystal. Source: Alexandria via LeMat-Bulk, functional PBE.

Computed properties:
M_tot (μB/atom): 1.400

```
data_RbCdC3
_cell_length_a 5.638
_cell_length_b 5.638
_cell_length_c 5.638
_cell_angle_alpha 90.00
_cell_angle_beta 90.00
_cell_angle_gamma 90.00
_space_group_name_H-M_alt 'P m -3 m'
_space_group_IT_number 221
_space_group_name_Hall '-P 4 2 3'
loop_
_atom_site_label
_atom_site_type_symbol
_atom_site_fract_x
_atom_site_fract_y
_atom_site_fract_z
Rb1 Rb 0.000 0.000 0.000
Cd1 Cd 0.500 0.500 0.500
C1 C 0.000 0.000 0.500
```


It is w) that is most stable; the runner-up trails by 1020 meV per atom.


w) A relaxed CdRe3C crystal. Source: Alexandria via LeMat-Bulk, functional PBE.

Computed properties:
M_tot (μB/atom): 0.000

```
data_CdRe3C
_cell_length_a 4.150
_cell_length_b 4.150
_cell_length_c 4.150
_cell_angle_alpha 90.00
_cell_angle_beta 90.00
_cell_angle_gamma 90.00
_space_group_name_H-M_alt 'P m -3 m'
_space_group_IT_number 221
_space_group_name_Hall '-P 4 2 3'
loop_
_atom_site_label
_atom_site_type_symbol
_atom_site_fract_x
_atom_site_fract_y
_atom_site_fract_z
Cd1 Cd 0.000 0.000 0.000
Re1 Re 0.000 0.500 0.500
C1 C 0.500 0.500 0.500
```


x) A relaxed CdRe3C crystal. Source: Alexandria via LeMat-Bulk, functional PBE.

Computed properties:
M_tot (μB/atom): 0.873

```
data_CdRe3C
_cell_length_a 4.854
_cell_length_b 4.854
_cell_length_c 4.854
_cell_angle_alpha 90.00
_cell_angle_beta 90.00
_cell_angle_gamma 90.00
_space_group_name_H-M_alt 'P m -3 m'
_space_group_IT_number 221
_space_group_name_Hall '-P 4 2 3'
loop_
_atom_site_label
_atom_site_type_symbol
_atom_site_fract_x
_atom_site_fract_y
_atom_site_fract_z
Cd1 Cd 0.000 0.000 0.000
Re1 Re 0.000 0.000 0.500
C1 C 0.500 0.500 0.500
```


It is w) that is most stable; the runner-up trails by 4021 meV per atom.